{
  "formula": "Hg3Pb4Au",
  "functional": "PBE",
  "state": "optimized geometry",
  "total_energy_ev_per_atom": -2.339,
  "dos_ef_per_ev_cell": 3.3,
  "rho_g_cm3": 11.6,
  "magnetic_moment_mub_per_fu": 0.00,
  "lattice": [[5.6740, -2.6695, 0.0000], [5.6740, 2.6695, 0.0000], [-0.9820, 0.0000, 7.7043]],
  "species": ["Hg", "Hg", "Hg", "Pb", "Pb", "Pb", "Pb", "Au"],
  "fractional_positions": [[0.0000, 0.0000, 0.0000], [0.1356, 0.1356, 0.5501], [0.8644, 0.8644, 0.4499], [0.2977, 0.2977, 0.2070], [0.3831, 0.3831, 0.8105], [0.6169, 0.6169, 0.1895], [0.7023, 0.7023, 0.7930], [0.5000, 0.5000, 0.5000]]
}